No. 1
PBE MgSn2BOs, optimized geometry; formation energy = 518 kJ/mol of formula units; spin magnetization = 1.13 Bohr magnetons per cell; space group = No. 123
1.0
5.0709 0.0000 0.0000
0.0000 5.0749 0.0000
0.0000 0.0000 5.0709
B Os Sn Mg
1 1 2 1
Cartesian
2.5355 2.5374 2.5355 B
0.0000 0.0000 0.0000 Os
2.5355 0.0000 0.0000 Sn
0.0000 0.0000 2.5355 Sn
0.0000 2.5374 0.0000 Mg

---

No. 2
PBE SrMgRh, optimized geometry; formation energy = -97 kJ/mol of formula units; spin magnetization = 0.00 Bohr magnetons per cell; space group = No. 129
1.0
-1.0641 -3.4925 2.2856
4.0345 -1.4663 -0.3619
1.9500 3.7350 6.6147
Mg Rh Sr
2 2 2
Cartesian
1.3832 -0.4877 0.0853 Mg
2.8682 -2.9674 1.0466 Mg
3.8179 -0.4243 1.3152 Rh
2.3864 0.7041 6.4313 Rh
4.6829 1.2319 4.2487 Sr
1.5225 -0.9521 3.4988 Sr

---

No. 3
PBE TlBrF2, optimized geometry; E_form (uncorrected) = -0.9768 eV per atom; spin magnetization = 0.39 Bohr magnetons per cell; space group = No. 122
1.0
-2.5040 2.5040 7.1456
2.5040 -2.5040 7.1456
2.5040 2.5040 -7.1456
F Tl Br
4 2 2
Cartesian
0.2999 1.2520 1.7864 F
-1.2520 2.2041 5.3592 F
1.2520 2.8039 5.3592 F
-0.2999 3.7560 1.7864 F
0.0000 2.5040 3.5728 Tl
0.0000 0.0000 0.0000 Tl
0.0000 0.0000 7.1456 Br
2.5040 0.0000 3.5728 Br

---

No. 4
PBE FeCoCuGe, optimized geometry; formation energy = 10 kJ/mol of formula units; spin magnetization = 1.52 Bohr magnetons per cell; space group = No. 216
1.0
4.0412 0.0000 0.0000
2.0206 3.4998 0.0000
2.0206 1.1666 3.2997
Fe Co Cu Ge
1 1 1 1
Cartesian
0.0000 0.0000 0.0000 Fe
4.0412 2.3332 1.6498 Co
6.0619 3.4998 2.4747 Cu
2.0206 1.1666 0.8249 Ge

---

No. 5
PBE MgIn2Si2, optimized geometry; E_form (uncorrected) = 0.4196 eV per atom; spin magnetization = 0.00 Bohr magnetons per cell; space group = No. 139
1.0
4.5661 0.0000 0.0000
0.0000 4.5661 0.0000
2.2831 2.2831 5.7717
Si In Mg
2 2 1
Cartesian
2.2831 4.5661 2.8859 Si
4.5661 2.2831 2.8859 Si
4.5661 4.5661 4.3857 In
2.2831 2.2831 1.3860 In
0.0000 0.0000 0.0000 Mg

---

No. 6
PBE BaHf3O, optimized geometry; E_form (uncorrected) = 2.5487 eV per atom; spin magnetization = 0.00 Bohr magnetons per cell; space group = No. 221
1.0
5.3023 0.0000 0.0000
0.0000 5.3023 0.0000
0.0000 0.0000 5.3023
Hf Ba O
3 1 1
Cartesian
0.0000 2.6512 0.0000 Hf
2.6512 0.0000 0.0000 Hf
0.0000 0.0000 2.6512 Hf
0.0000 0.0000 0.0000 Ba
2.6512 2.6512 2.6512 O

---

No. 7
PBE Pa3Sn2Sb3, optimized geometry; E_form (uncorrected) = -0.3951 eV per atom; spin magnetization = 0.02 Bohr magnetons per cell; space group = No. 193
1.0
-4.4303 -3.2291 2.4988
3.3549 -7.6135 -3.8905
2.8630 2.5342 8.3509
Sn Sb Pa
4 6 6
Cartesian
3.0270 -0.8484 4.2704 Sn
3.1909 -4.2309 0.1899 Sn
0.9758 -5.8455 1.4393 Sn
0.8118 -2.4629 5.5198 Sn
1.0040 1.0617 6.7837 Sb
-2.4422 -4.4202 0.8529 Sb
1.3667 -6.4224 -2.2446 Sb
1.2631 -6.1679 5.1637 Sb
-2.5713 -1.7567 4.0661 Sb
0.5245 -2.1405 1.7955 Sb
0.1684 -3.7030 -0.8550 Pa
2.7454 -3.9547 3.3886 Pa
-0.0187 0.1566 3.8009 Pa
-1.5486 -0.8515 7.0488 Pa
-0.9578 -4.3537 3.5706 Pa
-1.2439 -7.1396 -0.5367 Pa

---

No. 8
PBE Mg2Ag3Hg3, optimized geometry; formation energy = -48 kJ/mol of formula units; spin magnetization = 0.00 Bohr magnetons per cell; space group = No. 155
1.0
5.4768 0.1177 -0.1240
0.1239 5.4767 -0.1240
-0.1179 -0.1177 5.4770
Hg Ag Mg
3 3 2
Cartesian
4.0306 0.0000 4.0260 Hg
1.4508 4.1483 -0.1240 Hg
0.0015 1.3284 1.3269 Hg
3.9877 2.7383 3.8594 Ag
2.7400 1.4920 1.3695 Ag
1.4965 3.9847 2.6144 Ag
1.3210 1.3195 4.0365 Mg
4.1619 4.1572 1.1924 Mg

---

No. 9
PBE MnMoCl2, optimized geometry; E_form (uncorrected) = -0.0834 eV per atom; spin magnetization = 3.59 Bohr magnetons per cell; space group = No. 35
1.0
-0.8526 2.9516 -0.5687
-0.6649 -1.2409 2.7893
8.2683 3.0277 3.3180
Cl Mn Mo
2 1 1
Cartesian
1.9169 1.8351 2.1840 Cl
7.7145 2.8249 3.0957 Cl
4.1947 1.5360 1.6833 Mn
5.3272 3.0839 3.5525 Mo

---

No. 10
PBE Li9Zn4Ag11, optimized geometry; formation energy = -400 kJ/mol of formula units; spin magnetization = 0.00 Bohr magnetons per cell; space group = No. 65
1.0
2.9081 0.0000 0.0000
0.0000 11.1445 -4.8038
0.0000 -0.0377 12.1357
Ag Li Zn
11 9 4
Cartesian
0.0000 6.9649 1.5278 Ag
0.0000 2.6489 1.7486 Ag
0.0000 0.4210 4.6833 Ag
0.0000 4.1419 5.8041 Ag
0.0000 0.0000 0.0000 Ag
0.0000 10.6858 2.6486 Ag
0.0000 8.4579 5.5833 Ag
0.0000 4.4720 -1.4534 Ag
0.0000 1.9494 9.1255 Ag
0.0000 6.6348 8.7853 Ag
0.0000 9.1574 -1.7936 Ag
1.4540 4.2415 8.3157 Li
1.4540 2.2671 -0.6203 Li
1.4540 6.8653 -0.9839 Li
1.4540 8.8397 7.9522 Li
1.4540 5.5534 3.6659 Li
1.4540 9.3135 0.6323 Li
1.4540 1.7932 6.6996 Li
1.4540 0.3205 2.3285 Li
1.4540 10.7863 5.0034 Li
1.4540 8.4296 3.2849 Zn
1.4540 2.6772 4.0470 Zn
1.4540 4.7735 0.8714 Zn
1.4540 6.3333 6.4605 Zn

---

No. 11
PBE K3Li, optimized geometry; formation energy = 42 kJ/mol of formula units; spin magnetization = 0.00 Bohr magnetons per cell; space group = No. 139
1.0
-2.7573 -5.2809 4.4673
5.4128 -4.9002 1.4617
-0.1544 7.4264 0.5210
K Li
3 1
Cartesian
-0.7919 -1.4725 3.9764 K
3.2931 -1.2821 2.4736 K
1.3278 -5.0905 2.9645 K
0.0000 0.0000 0.0000 Li

---

No. 12
PBE Sr2YMo, optimized geometry; formation energy = 353 kJ/mol of formula units; spin magnetization = 2.93 Bohr magnetons per cell; space group = No. 225
1.0
0.0821 -3.0238 4.8328
0.0938 2.6740 5.0345
-4.5958 -0.1100 3.3723
Mo Sr Y
1 2 1
Cartesian
-2.2100 -0.2299 6.6198 Mo
-1.1050 -0.1149 3.3099 Sr
-3.3150 -0.3448 9.9297 Sr
0.0000 0.0000 0.0000 Y